Entry 1:
Material: Fe2AgSb
Method: DFT, PBE
State: relaxed

Cell lengths 2.946, 4.001, 5.551 Å; angles 90.00, 95.25, 90.00 degrees
Sites, in units of the cell vectors:
Fe: 0.033 0.000 0.256
Fe: 0.967 0.000 0.744
Ag: 0.500 0.500 0.000
Sb: 0.500 0.500 0.500

SG: P2/m, No. 10

***

Entry 2:
Material: Fe2AgSb
Method: DFT, PBE
State: relaxed

Cell lengths 5.171, 5.171, 5.171 Å; angles 141.54, 130.55, 64.34 degrees
Sites, in units of the cell vectors:
Fe: 0.000 0.000 0.000
Fe: 0.800 0.300 0.500
Ag: 0.536 0.536 0.000
Sb: 0.261 0.761 0.500

SG: Imm2, No. 44

***

Entry 3:
Material: FeAg4Sb
Method: DFT, PBE
State: relaxed

Cell lengths 5.498, 5.498, 5.498 Å; angles 60.00, 60.00, 60.00 degrees
Sites, in units of the cell vectors:
Fe: 0.000 0.000 0.000
Ag: 0.375 0.375 0.375
Ag: 0.375 0.375 0.876
Ag: 0.375 0.876 0.375
Ag: 0.876 0.375 0.375
Sb: 0.750 0.750 0.750

SG: F-43m, No. 216

***

Number 1: raw formation energy 0.407 eV/atom, D(E_F) 3.62 states/eV/cell, magnetic moment 5.20 μB per formula unit. Number 2: raw formation energy 0.315 eV/atom, D(E_F) 3.00 states/eV/cell, magnetic moment 4.98 μB per formula unit. Number 3: raw formation energy 0.427 eV/atom, D(E_F) 6.42 states/eV/cell, magnetic moment 3.11 μB per formula unit.